Entry from Alexandria via LeMat-Bulk: CrTeCl2 after structural relaxation (PBE).

Cell: 5.4939 5.4939 5.4939 Å, 132.36 132.36 69.67°
With the nearest neighbours (Å) after each atom.
Positions (direct):
1 Cl 0.0000 0.0000 0.0000  4 Cl 3.14, 4 Te 3.16, 4 Cr 3.16
2 Cl 0.5000 0.5000 0.0000  4 Cl 3.14, 4 Cr 3.16, 4 Te 3.16
3 Cr 0.2500 0.7500 0.5000  4 Te 3.14, 8 Cl 3.16
4 Te 0.7500 0.2500 0.5000  4 Cr 3.14, 8 Cl 3.16

Values from the calculation:
The raw formation energy is 0.2752 eV per atom. For the total energy, the calculation gives -3.839 eV per atom. As for the symmetry: I4/mmm, No. 139. The calculation puts the energy above the most stable polymorph in this dataset at 812 meV/atom. The value obtained for the total magnetization is 3.53 μB/f.u.